# KNpCoS4, optimized geometry, DFT GGA-PBE
# Crystal system: monoclinic
# ρ, g/cm³: 4.89
# Formation energy (no corrections), eV per atom: -0.935
# Total magnetic moment, μB per formula unit: 0.214
data_KNpCoS4
_chemical_formula_sum 'K2 Np2 Co2 S8'
_symmetry_space_group_name_H-M 'P 1'
_symmetry_Int_Tables_number 1
_symmetry_space_group_name_Hall 'P 1'
_cell_length_a 6.5659
_cell_length_b 5.6250
_cell_length_c 8.8685
_cell_angle_alpha 90.00
_cell_angle_beta 105.97
_cell_angle_gamma 90.00
loop_
_atom_site_label
_atom_site_fract_x
_atom_site_fract_y
_atom_site_fract_z
Np1 0.2605 0.2500 0.5517
Np2 0.7395 0.7500 0.4483
Co1 0.7648 0.2500 0.6617
Co2 0.2352 0.7500 0.3383
K1 0.2583 0.2500 0.0513
K2 0.7417 0.7500 0.9487
S1 0.4214 0.7500 0.5830
S2 0.0165 0.9868 0.7045
S3 0.9835 0.4868 0.2955
S4 0.0165 0.5132 0.7045
S5 0.9835 0.0132 0.2955
S6 0.5561 0.2500 0.8180
S7 0.5786 0.2500 0.4170
S8 0.4439 0.7500 0.1820

# KNpCoS3, optimized geometry, DFT GGA-PBE
# Crystal system: monoclinic
# ρ, g/cm³: 4.90
# Formation energy (no corrections), eV per atom: -1.086
# Total magnetic moment, μB per formula unit: 4.303
data_KNpCoS3
_chemical_formula_sum 'K2 Np2 Co2 S6'
_symmetry_space_group_name_H-M 'P 1'
_symmetry_Int_Tables_number 1
_symmetry_space_group_name_Hall 'P 1'
_cell_length_a 3.8689
_cell_length_b 8.8014
_cell_length_c 9.0460
_cell_angle_alpha 108.44
_cell_angle_beta 90.00
_cell_angle_gamma 90.00
loop_
_atom_site_label
_atom_site_fract_x
_atom_site_fract_y
_atom_site_fract_z
Np1 0.7500 0.3238 0.8386
Np2 0.2500 0.6762 0.1614
K1 0.7500 0.8043 0.7662
K2 0.2500 0.1957 0.2338
S1 0.2500 0.1204 0.8519
S2 0.2500 0.5438 0.8442
S3 0.2500 0.8217 0.4709
S4 0.7500 0.4562 0.1558
S5 0.7500 0.1783 0.5291
S6 0.7500 0.8796 0.1481
Co1 0.7500 0.9181 0.4100
Co2 0.2500 0.0819 0.5900

# K2Np2CoS6, optimized geometry, DFT GGA-PBE
# Crystal system: monoclinic
# ρ, g/cm³: 4.76
# Formation energy (no corrections), eV per atom: -1.072
# Total magnetic moment, μB per formula unit: 6.859
data_K2Np2CoS6
_chemical_formula_sum 'K2 Np2 Co1 S6'
_symmetry_space_group_name_H-M 'P 1'
_symmetry_Int_Tables_number 1
_symmetry_space_group_name_Hall 'P 1'
_cell_length_a 6.5096
_cell_length_b 6.5096
_cell_length_c 7.9147
_cell_angle_alpha 98.12
_cell_angle_beta 98.12
_cell_angle_gamma 119.45
loop_
_atom_site_label
_atom_site_fract_x
_atom_site_fract_y
_atom_site_fract_z
Co1 0.0000 0.0000 0.5000
S1 0.2406 0.2406 0.3154
S2 0.9343 0.6223 0.3108
S3 0.3777 0.0657 0.6892
S4 0.0657 0.3777 0.6892
S5 0.7594 0.7594 0.6846
S6 0.6223 0.9343 0.3108
Np1 0.3333 0.6667 0.5000
Np2 0.6667 0.3333 0.5000
K1 0.8308 0.1692 0.0000
K2 0.1692 0.8308 0.0000

- Among the records above, which one has the lowest ρ?
  K2Np2CoS6

- Which value of formation energy (no corrections) does entry 1 give?
  -0.935 eV per atom

- The lowest ρ belongs to which entry?
  K2Np2CoS6

- Look up the formation energy (no corrections) of the second one.
  -1.086 eV per atom